Entry from OQMD via LeMat-Bulk: crystalline Co2TeI2O3 at its relaxed geometry (PBE+U).

Lattice parameters (Å, degrees): 5.443 6.786 8.678 90.00 104.36 90.00
Space group P2_1/m (No. 11)
Unique sites:
Co: 0.000 0.000 0.000 x2
Co: 0.271 0.250 0.818 x2
Te: 0.409 0.750 0.769 x2
I: 0.163 0.250 0.485 x2
I: 0.261 0.750 0.235 x2
O: 0.251 0.542 0.858 x4
O: 0.260 0.250 0.066 x2

The value obtained for the total energy is -73.57 eV per cell. The total magnetization comes out at 0.7501 μB per atom.